# ZnInB2Pb

A geometry-optimized ZnInB2Pb structure (PBE, Alexandria).

a b c (Å): 4.4247 4.4247 6.2521
angles (deg): 90.00 90.00 90.00
Space group P4/mmm (No. 123)
Unique sites:
1 Zn 0.0000 0.0000 0.0000
2 In 0.5000 0.5000 0.5000
3 B 0.0000 0.5000 0.5000
4 Pb 0.5000 0.5000 0.0000

Computed properties:
The calculation puts the density of states at the Fermi level at 2.5 states/eV per cell. The value obtained for the volume is 122.4 Å³/cell. The total DFT energy (no corrections) is -2.603 eV per atom. The value obtained for the magnetic moment is 0.00 μB per formula unit.